LiMg14MnO16: relaxed, PBE with a Hubbard U.

abc: 8.476 8.476 4.293
angles: 90.00 90.00 90.00
Element x y z (fractional)
Li1 0.000 0.000 0.000
Mg1 0.000 0.243 0.500
Mg2 0.000 0.500 0.000
Mg3 0.000 0.757 0.500
Mg4 0.243 0.000 0.500
Mg5 0.243 0.243 0.000
Mg6 0.243 0.757 0.000
Mg7 0.248 0.500 0.500
Mg8 0.500 0.000 0.000
Mg9 0.500 0.248 0.500
Mg10 0.500 0.752 0.500
Mg11 0.752 0.500 0.500
Mg12 0.757 0.000 0.500
Mg13 0.757 0.243 0.000
Mg14 0.757 0.757 0.000
Mn1 0.500 0.500 0.000
O1 0.000 0.000 0.500
O2 0.000 0.260 0.000
O3 0.000 0.500 0.500
O4 0.000 0.740 0.000
O5 0.251 0.251 0.500
O6 0.251 0.749 0.500
O7 0.260 0.000 0.000
O8 0.262 0.500 0.000
O9 0.500 0.000 0.500
O10 0.500 0.262 0.000
O11 0.500 0.500 0.500
O12 0.500 0.738 0.000
O13 0.738 0.500 0.000
O14 0.740 0.000 0.000
O15 0.749 0.251 0.500
O16 0.749 0.749 0.500

## Properties
V: 308.4 Å³/f.u.
spin magnetization: 4.0 μB per cell
space-group type: P4/mmm
offset from the most stable computed form: 39 kJ/mol of formula units
crystal system: tetragonal
density of states at the Fermi level: 0.05 states/eV/cell
VASP energy: -6.04 eV/atom